DFT (PBE+U) results for a relaxed ZrVB2F crystal.

Cell: 4.3753 4.3753 4.9393 Å, 90.00 90.00 90.00°
With the nearest neighbours (Å) after each atom.
Sites, in units of the cell vectors:
Zr 0.0000 0.0000 0.0000  4 B 2.19
V 0.0000 0.0000 0.5000  2 Zr 2.47
B 0.0000 0.5000 0.0000  2 Zr 2.19
B 0.5000 0.0000 0.0000  2 Zr 2.19
F 0.5000 0.5000 0.5000  4 V 3.09, 8 B 3.30

Calculated values
Volume (Å³ per cell): 95
Magnetization (μB per formula unit): 0.00

***

DFT (PBE+U) results for a relaxed Cs3Co2AgF9 crystal.

Cell: 6.2011 6.2011 7.6494 Å, 90.00 90.00 120.00°
With the nearest neighbours (Å) after each atom.
Sites, in units of the cell vectors:
Cs 0.0000 0.0000 0.0000  12 F 3.02-3.10
Cs 0.3333 0.6667 0.6562  12 F 3.12-3.18
Cs 0.6667 0.3333 0.3438  12 F 3.12-3.18
Co 0.3333 0.6667 0.1529  6 F 1.96-2.14
Co 0.6667 0.3333 0.8471  6 F 1.96-2.14
Ag 0.0000 0.0000 0.5000  6 F 2.50
F 0.0000 0.5000 0.0000  2 Co 2.14
F 0.1835 0.3669 0.2993  1 Co 1.96
F 0.1835 0.8165 0.2993  1 Co 1.96
F 0.3669 0.1835 0.7007  1 Co 1.96
F 0.5000 0.0000 0.0000  2 Co 2.14
F 0.5000 0.5000 0.0000  2 Co 2.14
F 0.6331 0.8165 0.2993  1 Co 1.96
F 0.8165 0.1835 0.7007  1 Co 1.96
F 0.8165 0.6331 0.7007  1 Co 1.96

Calculated values
Volume (Å³ per cell): 255
Magnetization (μB per formula unit): 7.00

***

Final energy list, top to bottom, in eV/atom: -4.32; -4.34